1.
Density functional theory data (GGA-PBE) for a relaxed structure of NbFeN3.

Its density is 6.66 g/cm3. The calculation puts the magnetization at 1.9 μB/f.u. The calculation puts the total DFT energy (no corrections) at -40.502 eV for the cell shown. The formation energy from raw total energies is 0.601 eV per atom.

abc: 3.623 3.623 3.623
angles: 90.00 90.00 90.00
Sites, in units of the cell vectors:
1 Nb 0.000 0.000 0.000
2 Fe 0.500 0.500 0.500
3 N 0.000 0.500 0.500
4 N 0.500 0.000 0.500
5 N 0.500 0.500 0.000



2.
Density functional theory data (GGA-PBE) for a relaxed structure of Al2PbBr.

Its density is 5.76 g/cm3. The calculation puts the magnetization at 0.0 μB/f.u. The calculation puts the total DFT energy (no corrections) at -12.291 eV for the cell shown. As for the energy above the most stable polymorph in this dataset: 226.8 meV/atom. The formation energy from raw total energies is 0.144 eV per atom.

abc: 3.389 5.278 5.501
angles: 90.00 90.00 90.00
Sites, in units of the cell vectors:
1 Al 0.000 0.000 0.000
2 Al 0.500 0.500 0.000
3 Pb 0.000 0.500 0.500
4 Br 0.500 0.000 0.500



3.
Density functional theory data (GGA-PBE) for a relaxed structure of SrCaSc3.

Its density is 2.62 g/cm3. The calculation puts the magnetization at 0.0 μB/f.u. The calculation puts the total DFT energy (no corrections) at -18.531 eV for the cell shown. The calculation puts the energy of formation from the pure elements at 4.15 eV/f.u. As for the energy above the most stable polymorph in this dataset: 0.0 meV/atom.

abc: 5.503 5.503 5.503
angles: 90.00 90.00 90.00
Sites, in units of the cell vectors:
1 Sr 0.000 0.000 0.000
2 Ca 0.500 0.500 0.500
3 Sc 0.000 0.500 0.500
4 Sc 0.500 0.000 0.500
5 Sc 0.500 0.500 0.000



4.
Density functional theory data (GGA-PBE) for a relaxed structure of MgBe3H9.

Its density is 0.90 g/cm3. The calculation puts the magnetization at 0.0 μB/f.u. The calculation puts the total DFT energy (no corrections) at -84.563 eV for the cell shown.

abc: 6.713 6.713 7.642
angles: 122.00 122.00 53.69
Sites, in units of the cell vectors:
1 Mg 0.203 0.797 0.500
2 Mg 0.797 0.203 0.000
3 Be 0.112 0.346 0.692
4 Be 0.175 0.466 0.060
5 Be 0.346 0.112 0.192
6 Be 0.466 0.175 0.560
7 Be 0.671 0.758 0.318
8 Be 0.758 0.671 0.818
9 H 0.055 0.108 0.355
10 H 0.089 0.101 0.757
11 H 0.101 0.089 0.257
12 H 0.108 0.055 0.855
13 H 0.222 0.368 0.595
14 H 0.237 0.665 0.236
15 H 0.277 0.419 0.911
16 H 0.368 0.222 0.095
17 H 0.419 0.277 0.411
18 H 0.504 0.683 0.719
19 H 0.521 0.901 0.473
20 H 0.539 0.854 0.136
21 H 0.665 0.237 0.736
22 H 0.683 0.504 0.219
23 H 0.762 0.919 0.940
24 H 0.854 0.539 0.636
25 H 0.901 0.521 0.973
26 H 0.919 0.762 0.440



5.
Density functional theory data (GGA-PBE) for a relaxed structure of TbTh7Sc2.

Its density is 10.11 g/cm3. The calculation puts the magnetization at 0.0 μB/f.u. The calculation puts the total DFT energy (no corrections) at -68.658 eV for the cell shown. The calculation puts the energy of formation from the pure elements at 0.57 eV/f.u.

abc: 4.975 7.031 9.309
angles: 78.91 74.52 89.94
Sites, in units of the cell vectors:
1 Tb 0.000 0.000 0.000
2 Th 0.000 0.500 0.000
3 Th 0.202 0.103 0.597
4 Th 0.396 0.694 0.209
5 Th 0.400 0.200 0.201
6 Th 0.600 0.800 0.799
7 Th 0.604 0.306 0.791
8 Th 0.798 0.897 0.403
9 Sc 0.198 0.597 0.602
10 Sc 0.802 0.403 0.398



6.
Density functional theory data (GGA-PBE) for a relaxed structure of BaHfTlFe2.

Its density is 8.00 g/cm3. The calculation puts the magnetization at 0.1 μB/f.u. The calculation puts the total DFT energy (no corrections) at -26.336 eV for the cell shown. The calculation puts the energy of formation from the pure elements at 4.83 eV/f.u.

abc: 4.809 4.809 5.672
angles: 90.00 90.00 90.00
Sites, in units of the cell vectors:
1 Ba 0.000 0.000 0.000
2 Hf 0.500 0.500 0.500
3 Tl 0.500 0.500 0.000
4 Fe 0.000 0.500 0.500
5 Fe 0.500 0.000 0.500



7.
Density functional theory data (GGA-PBE) for a relaxed structure of BaCuSn.

Its density is 6.00 g/cm3. The calculation puts the magnetization at 0.0 μB/f.u. The calculation puts the total DFT energy (no corrections) at -22.265 eV for the cell shown. The calculation puts the energy of formation from the pure elements at -1.11 eV/f.u.

abc: 4.800 4.800 7.674
angles: 90.02 90.02 90.00
Sites, in units of the cell vectors:
1 Ba 0.000 0.000 0.000
2 Ba 0.500 0.500 0.369
3 Cu 0.000 0.501 0.685
4 Cu 0.501 0.000 0.685
5 Sn 0.001 0.001 0.512
6 Sn 0.500 0.500 0.856



8.
Density functional theory data (GGA-PBE) for a relaxed structure of GeS2F.

Its density is 3.59 g/cm3. The calculation puts the magnetization at 0.0 μB/f.u. The calculation puts the total DFT energy (no corrections) at -15.766 eV for the cell shown. As for the energy above the most stable polymorph in this dataset: 451.4 meV/atom. The formation energy from raw total energies is -0.256 eV per atom.

abc: 7.323 7.323 7.323
angles: 27.12 27.12 27.12
Sites, in units of the cell vectors:
1 Ge 0.000 0.000 0.000
2 S 0.401 0.401 0.401
3 S 0.599 0.599 0.599
4 F 0.500 0.500 0.500



9.
Density functional theory data (GGA-PBE) for a relaxed structure of Ac2LaZrO6.

Its density is 7.80 g/cm3. The calculation puts the magnetization at 0.9 μB/f.u. The calculation puts the total DFT energy (no corrections) at -166.599 eV for the cell shown. The formation energy from raw total energies is -3.186 eV per atom.

abc: 6.127 6.261 10.492
angles: 90.00 124.38 90.00
Sites, in units of the cell vectors:
1 Ac 0.228 0.061 0.242
2 Ac 0.228 0.439 0.742
3 Ac 0.772 0.561 0.258
4 Ac 0.772 0.939 0.758
5 La 0.500 0.000 0.000
6 La 0.500 0.500 0.500
7 Zr 0.000 0.000 0.500
8 Zr 0.000 0.500 0.000
9 O 0.115 0.202 0.940
10 O 0.115 0.298 0.440
11 O 0.225 0.686 0.934
12 O 0.225 0.814 0.434
13 O 0.356 0.046 0.733
14 O 0.356 0.454 0.233
15 O 0.644 0.546 0.767
16 O 0.644 0.954 0.267
17 O 0.775 0.186 0.566
18 O 0.775 0.314 0.066
19 O 0.885 0.702 0.560
20 O 0.885 0.798 0.060



10.
Density functional theory data (GGA-PBE) for a relaxed structure of BiHS2.

Its density is 6.16 g/cm3. The calculation puts the magnetization at 0.1 μB/f.u. The calculation puts the total DFT energy (no corrections) at -13.272 eV for the cell shown. As for the energy above the most stable polymorph in this dataset: 815.8 meV/atom.

abc: 4.709 4.709 4.709
angles: 60.00 60.00 60.00
Sites, in units of the cell vectors:
1 Bi 0.000 0.000 0.000
2 H 0.500 0.500 0.500
3 S 0.250 0.250 0.250
4 S 0.750 0.750 0.750



11.
Density functional theory data (GGA-PBE) for a relaxed structure of BaCaH4.

Its density is 3.11 g/cm3. The calculation puts the magnetization at 0.0 μB/f.u. The calculation puts the total DFT energy (no corrections) at -39.797 eV for the cell shown. As for the energy above the most stable polymorph in this dataset: 42.9 meV/atom.

abc: 7.464 7.464 6.239
angles: 90.00 90.00 146.11
Sites, in units of the cell vectors:
1 Ba 0.133 0.867 0.750
2 Ba 0.867 0.133 0.250
3 Ca 0.393 0.607 0.750
4 Ca 0.607 0.393 0.250
5 H 0.073 0.927 0.250
6 H 0.302 0.698 0.032
7 H 0.302 0.698 0.468
8 H 0.500 0.500 0.000
9 H 0.500 0.500 0.500
10 H 0.698 0.302 0.532
11 H 0.698 0.302 0.968
12 H 0.927 0.073 0.750



12.
Density functional theory data (GGA-PBE) for a relaxed structure of BeH.

Its density is 1.35 g/cm3. The calculation puts the magnetization at 0.0 μB/f.u. The calculation puts the total DFT energy (no corrections) at -24.668 eV for the cell shown. As for the energy above the most stable polymorph in this dataset: 345.9 meV/atom.

abc: 4.919 4.253 3.826
angles: 74.80 56.55 48.64
Sites, in units of the cell vectors:
1 Be 0.041 0.709 0.041
2 Be 0.291 0.959 0.291
3 Be 0.709 0.041 0.709
4 Be 0.959 0.291 0.959
5 H 0.142 0.608 0.608
6 H 0.392 0.858 0.858
7 H 0.608 0.142 0.142
8 H 0.858 0.392 0.392



13.
Density functional theory data (GGA-PBE) for a relaxed structure of PmSm8Sn2.

Its density is 7.30 g/cm3. The calculation puts the magnetization at 0.0 μB/f.u. The calculation puts the total DFT energy (no corrections) at -52.497 eV for the cell shown. The calculation puts the energy of formation from the pure elements at -1.99 eV/f.u.

abc: 8.949 8.949 6.409
angles: 94.35 94.35 44.82
Sites, in units of the cell vectors:
1 Pm 0.000 0.000 0.000
2 Sm 0.155 0.645 0.593
3 Sm 0.213 0.213 0.833
4 Sm 0.355 0.845 0.407
5 Sm 0.416 0.416 0.104
6 Sm 0.584 0.584 0.896
7 Sm 0.645 0.155 0.593
8 Sm 0.787 0.787 0.167
9 Sm 0.845 0.355 0.407
10 Sn 0.256 0.256 0.331
11 Sn 0.744 0.744 0.669



14.
Density functional theory data (GGA-PBE) for a relaxed structure of TbPm12In3.

Its density is 7.45 g/cm3. The calculation puts the magnetization at 0.0 μB/f.u. The calculation puts the total DFT energy (no corrections) at -73.004 eV for the cell shown. The calculation puts the energy of formation from the pure elements at -3.15 eV/f.u.

abc: 4.969 4.969 20.263
angles: 90.00 90.00 90.00
Sites, in units of the cell vectors:
1 Tb 0.000 0.000 0.000
2 Pm 0.000 0.500 0.131
3 Pm 0.000 0.500 0.377
4 Pm 0.000 0.500 0.623
5 Pm 0.000 0.500 0.869
6 Pm 0.500 0.000 0.131
7 Pm 0.500 0.000 0.377
8 Pm 0.500 0.000 0.623
9 Pm 0.500 0.000 0.869
10 Pm 0.500 0.500 0.000
11 Pm 0.500 0.500 0.254
12 Pm 0.500 0.500 0.500
13 Pm 0.500 0.500 0.746
14 In 0.000 0.000 0.256
15 In 0.000 0.000 0.500
16 In 0.000 0.000 0.744



15.
Density functional theory data (GGA-PBE) for a relaxed structure of Al2OsW.

Its density is 11.88 g/cm3. The calculation puts the magnetization at 0.0 μB/f.u. The calculation puts the total DFT energy (no corrections) at -31.546 eV for the cell shown. The calculation puts the energy of formation from the pure elements at 0.12 eV/f.u. As for the energy above the most stable polymorph in this dataset: 294.0 meV/atom.

abc: 4.727 4.727 2.870
angles: 90.00 90.00 111.16
Sites, in units of the cell vectors:
1 Al 0.000 0.500 0.000
2 Al 0.500 0.000 0.000
3 Os 0.000 0.000 0.500
4 W 0.500 0.500 0.500



16.
Density functional theory data (GGA-PBE) for a relaxed structure of Sr2CdReO6.

Its density is 6.69 g/cm3. The calculation puts the magnetization at 1.0 μB/f.u. The calculation puts the total DFT energy (no corrections) at -67.072 eV for the cell shown. The formation energy from raw total energies is -2.060 eV per atom.

abc: 5.772 5.776 5.779
angles: 61.71 61.72 61.71
Sites, in units of the cell vectors:
1 Sr 0.245 0.245 0.244
2 Sr 0.755 0.755 0.756
3 Cd 0.500 0.500 0.500
4 Re 0.000 0.000 0.000
5 O 0.147 0.783 0.308
6 O 0.218 0.692 0.852
7 O 0.308 0.148 0.785
8 O 0.692 0.852 0.215
9 O 0.782 0.308 0.148
10 O 0.853 0.217 0.692



17.
Density functional theory data (GGA-PBE) for a relaxed structure of ErThMnAg.

Its density is 9.91 g/cm3. The calculation puts the magnetization at 2.1 μB/f.u. The calculation puts the total DFT energy (no corrections) at -23.787 eV for the cell shown. The calculation puts the energy of formation from the pure elements at 0.22 eV/f.u.

abc: 5.106 5.106 5.106
angles: 60.00 60.00 60.00
Sites, in units of the cell vectors:
1 Er 0.000 0.000 0.000
2 Th 0.500 0.500 0.500
3 Mn 0.250 0.250 0.250
4 Ag 0.750 0.750 0.750



18.
Density functional theory data (GGA-PBE) for a relaxed structure of Cr4PRu.

Its density is 7.70 g/cm3. The calculation puts the magnetization at 0.0 μB/f.u. The calculation puts the total DFT energy (no corrections) at -51.472 eV for the cell shown. The calculation puts the energy of formation from the pure elements at 1.71 eV/f.u.

abc: 4.699 4.699 4.699
angles: 60.00 60.00 60.00
Sites, in units of the cell vectors:
1 Cr 0.123 0.123 0.123
2 Cr 0.123 0.123 0.632
3 Cr 0.123 0.632 0.123
4 Cr 0.632 0.123 0.123
5 P 0.750 0.750 0.750
6 Ru 0.500 0.500 0.500



19.
Density functional theory data (GGA-PBE) for a relaxed structure of Dy12HgPd6.

Its density is 9.48 g/cm3. The calculation puts the magnetization at 0.0 μB/f.u. The calculation puts the total DFT energy (no corrections) at -98.176 eV for the cell shown. The calculation puts the energy of formation from the pure elements at -11.49 eV/f.u. As for the energy above the most stable polymorph in this dataset: 0.0 meV/atom.

abc: 8.594 8.594 8.594
angles: 109.47 109.47 109.47
Sites, in units of the cell vectors:
1 Dy 0.113 0.817 0.295
2 Dy 0.183 0.295 0.478
3 Dy 0.183 0.705 0.887
4 Dy 0.295 0.113 0.817
5 Dy 0.295 0.478 0.183
6 Dy 0.478 0.183 0.295
7 Dy 0.522 0.817 0.705
8 Dy 0.705 0.522 0.817
9 Dy 0.705 0.887 0.183
10 Dy 0.817 0.295 0.113
11 Dy 0.817 0.705 0.522
12 Dy 0.887 0.183 0.705
13 Hg 0.000 0.000 0.000
14 Pd 0.137 0.637 0.500
15 Pd 0.363 0.500 0.863
16 Pd 0.500 0.137 0.637
17 Pd 0.500 0.863 0.363
18 Pd 0.637 0.500 0.137
19 Pd 0.863 0.363 0.500



20.
Density functional theory data (GGA-PBE) for a relaxed structure of NdMoN4.

Its density is 5.55 g/cm3. The calculation puts the magnetization at 3.0 μB/f.u. The calculation puts the total DFT energy (no corrections) at -96.990 eV for the cell shown. The formation energy from raw total energies is 0.068 eV per atom.

abc: 7.084 7.084 7.084
angles: 134.61 134.61 66.14
Sites, in units of the cell vectors:
1 Nd 0.375 0.125 0.250
2 Nd 0.625 0.875 0.750
3 Mo 0.125 0.375 0.750
4 Mo 0.875 0.625 0.250
5 N 0.061 0.215 0.354
6 N 0.206 0.561 0.346
7 N 0.285 0.139 0.846
8 N 0.361 0.706 0.146
9 N 0.639 0.294 0.854
10 N 0.715 0.861 0.154
11 N 0.794 0.439 0.654
12 N 0.939 0.785 0.646